1.
The following is a PBE calculation of an optimized crystal structure of CaSe3, from Alexandria.

- total magnetization (μB per formula unit) = 0.000
- energy relative to the elements, uncorrected (eV/atom) = -0.673
- total DFT energy (no corrections) (eV per atom) = -3.7865

a b c (Å): 4.060 4.060 11.373
angles (deg): 90.00 90.00 90.00
Space group I4/mmm (No. 139)
Inequivalent atoms, fractional coordinates:
Ca  0.000  0.000  0.000
Se  0.000  0.000  0.500
Se  0.000  0.500  0.250



2.
The following is a PBE calculation of an optimized crystal structure of Ca5Se, from Alexandria.

- distance to the lowest polymorph of the same formula (meV/atom) = 174
- total magnetization (μB per formula unit) = 0.000
- energy relative to the elements, uncorrected (eV/atom) = -0.366
- total DFT energy (no corrections) (eV per atom) = -2.6151

a b c (Å): 4.194 17.049 6.037
angles (deg): 90.00 90.00 90.00
Space group Cmmm (No. 65)
Inequivalent atoms, fractional coordinates:
Ca  0.000  0.000  0.000
Ca  0.000  0.137  0.500
Ca  0.000  0.328  0.000
Se  0.000  0.500  0.500



3.
The following is a PBE calculation of an optimized crystal structure of CaSe3, from Alexandria.

- total magnetization (μB per formula unit) = 0.000
- energy relative to the elements, uncorrected (eV/atom) = -0.516
- total DFT energy (no corrections) (eV per atom) = -3.6301

a b c (Å): 4.4035 4.4035 18.2345
angles (deg): 90.00 90.00 120.00
Space group R-3m (No. 166, hexagonal axes)
Inequivalent atoms, fractional coordinates:
Ca  0.0000  0.0000  0.0000
Se  0.0000  0.0000  0.2443
Se  0.0000  0.0000  0.5000



4.
The following is a PBE calculation of an optimized crystal structure of CaSe2, from Alexandria.

- total magnetization (μB per formula unit) = 0.000
- energy relative to the elements, uncorrected (eV/atom) = -1.104
- total DFT energy (no corrections) (eV per atom) = -4.0945

a b c (Å): 3.996 3.996 37.504
angles (deg): 90.00 90.00 90.00
Space group I4_1/amd (No. 141, origin choice 2)
Inequivalent atoms, fractional coordinates:
Ca  0.000  0.250  0.305
Se  0.000  0.250  0.125
Se  0.000  0.250  0.786



5.
The following is a PBE calculation of an optimized crystal structure of CaSe2, from Alexandria.

- total magnetization (μB per formula unit) = 0.000
- energy relative to the elements, uncorrected (eV/atom) = -1.037
- total DFT energy (no corrections) (eV per atom) = -4.0275

a b c (Å): 5.035 5.035 14.915
angles (deg): 90.00 90.00 90.00
Space group I4_1/amd (No. 141, origin choice 2)
Inequivalent atoms, fractional coordinates:
Ca  0.000  0.250  0.375
Se  0.000  0.250  0.023



6.
The following is a PBE calculation of an optimized crystal structure of Ca5Se, from Alexandria.

- distance to the lowest polymorph of the same formula (meV/atom) = 600
- total magnetization (μB per formula unit) = 0.004
- energy relative to the elements, uncorrected (eV/atom) = 0.059
- total DFT energy (no corrections) (eV per atom) = -2.1895

a b c (Å): 9.797 9.797 9.797
angles (deg): 90.00 90.00 90.00
Space group F-43m (No. 216)
Inequivalent atoms, fractional coordinates:
Ca  0.000  0.000  0.000
Ca  0.125  0.125  0.625
Se  0.250  0.250  0.250



7.
The following is a PBE calculation of an optimized crystal structure of Ca4Se3, from Alexandria.

- distance to the lowest polymorph of the same formula (meV/atom) = 0
- total magnetization (μB per formula unit) = 0.000
- energy relative to the elements, uncorrected (eV/atom) = -1.696
- total DFT energy (no corrections) (eV per atom) = -4.3331

a b c (Å): 4.1692 4.1692 40.8020
angles (deg): 90.00 90.00 120.00
Space group R-3m (No. 166, hexagonal axes)
Inequivalent atoms, fractional coordinates:
Ca  0.0000  0.0000  0.1244
Ca  0.0000  0.0000  0.3726
Se  0.0000  0.0000  0.2519
Se  0.0000  0.0000  0.5000



8.
The following is a PBE calculation of an optimized crystal structure of CaSe2, from Alexandria.

- total magnetization (μB per formula unit) = 0.000
- energy relative to the elements, uncorrected (eV/atom) = -1.143
- total DFT energy (no corrections) (eV per atom) = -4.1334

a b c (Å): 16.146 4.039 5.011
angles (deg): 90.00 102.74 90.00
Space group C2/m (No. 12)
Inequivalent atoms, fractional coordinates:
Ca  0.120  0.000  0.148
Se  0.018  0.500  0.761
Se  0.245  0.000  0.743